# 1
This record from Alexandria via LeMat-Bulk describes an optimized crystal structure of Mg13In3. The functional is PBE-GGA.

The space group is Amm2 (No. 38) and the conventional cell measures 6.4078, 10.3999 and 11.1201 Å, with angles of 90.00, 90.00 and 90.00 degrees. The asymmetric unit holds Mg at (0.0000, 0.0000, 0.0000), Mg at (0.0000, 0.0000, 0.5032), Mg at (0.0000, 0.2485, 0.8354), Mg at (0.2455, 0.0000, 0.7497), Mg at (0.2499, 0.2488, 0.5853), Mg at (0.5000, 0.0000, 0.5046), Mg at (0.5000, 0.2491, 0.8346), In at (0.2490, 0.0000, 0.2556) and In at (0.5000, 0.0000, 0.9910).

As for the calculated formation energy: -0.039 eV per atom. For the density, the calculation gives 3.0 g/cm³. The value obtained for the volume is 741.0 Å³/cell. The value obtained for the calculated total energy is -29.57 eV per formula unit.

=====

# 2
This record from Alexandria via LeMat-Bulk describes an optimized crystal structure of Mg3In. The functional is PBE-GGA.

The space group is P6_3/mmc (No. 194) and the conventional cell measures 5.0348, 5.0348 and 8.8103 Å, with angles of 90.00, 90.00 and 120.00 degrees. The asymmetric unit holds Mg at (0.0000, 0.0000, 0.2500), Mg at (0.3333, 0.6667, 0.0813) and In at (0.3333, 0.6667, 0.7500).

As for the calculated formation energy: 0.003 eV per atom. For the density, the calculation gives 3.2 g/cm³. The value obtained for the volume is 193.4 Å³/cell. The value obtained for the calculated total energy is -7.51 eV per formula unit.

=====

# 3
This record from Alexandria via LeMat-Bulk describes an optimized crystal structure of MgIn. The functional is PBE-GGA.

The space group is Cmme (No. 67) and the conventional cell measures 3.5890, 5.4311 and 10.2251 Å, with angles of 90.00, 90.00 and 90.00 degrees. The asymmetric unit holds Mg at (0.0000, 0.2500, 0.1208) and In at (0.0000, 0.2500, 0.6324).

As for the calculated formation energy: 0.015 eV per atom. For the density, the calculation gives 4.6 g/cm³. The value obtained for the volume is 199.3 Å³/cell. The value obtained for the calculated total energy is -4.30 eV per formula unit.

=====

# 4
This record from Alexandria via LeMat-Bulk describes an optimized crystal structure of Mg3In7. The functional is PBE-GGA.

The space group is P6_3mc (No. 186) and the conventional cell measures 9.7738, 9.7738 and 6.2816 Å, with angles of 90.00, 90.00 and 120.00 degrees. The asymmetric unit holds Mg at (0.2076, 0.4152, 0.0000), In at (0.0522, 0.5261, 0.3308), In at (0.1143, 0.2287, 0.4732) and In at (0.3333, 0.6667, 0.6456).

As for the calculated formation energy: 0.003 eV per atom. For the density, the calculation gives 5.6 g/cm³. The calculation puts the polymorph energy (0 for the lowest one) at 40 meV/atom. The value obtained for the volume is 519.7 Å³/cell. The value obtained for the calculated total energy is -23.92 eV per formula unit.

=====

# 5
This record from Alexandria via LeMat-Bulk describes an optimized crystal structure of MgIn. The functional is PBE-GGA.

The space group is Pm-3m (No. 221) and the conventional cell measures 3.6181, 3.6181 and 3.6181 Å, with angles of 90.00, 90.00 and 90.00 degrees. The asymmetric unit holds Mg at (0.0000, 0.0000, 0.0000) and In at (0.5000, 0.5000, 0.5000).

As for the calculated formation energy: -0.068 eV per atom. For the density, the calculation gives 4.9 g/cm³. The value obtained for the volume is 47.4 Å³/cell. The value obtained for the calculated total energy is -4.47 eV per formula unit.

=====

# 6
This record from Alexandria via LeMat-Bulk describes an optimized crystal structure of Mg3In. The functional is PBE-GGA.

The space group is R-3m (No. 166, hexagonal axes) and the conventional cell measures 3.2255, 3.2255 and 31.4613 Å, with angles of 90.00, 90.00 and 120.00 degrees. The asymmetric unit holds Mg at (0.0000, 0.0000, 0.0000), Mg at (0.0000, 0.0000, 0.2488) and In at (0.0000, 0.0000, 0.5000).

As for the calculated formation energy: -0.024 eV per atom. For the density, the calculation gives 3.3 g/cm³. The value obtained for the volume is 283.5 Å³/cell. The value obtained for the calculated total energy is -7.62 eV per formula unit.

=====

# 7
This record from Alexandria via LeMat-Bulk describes an optimized crystal structure of Mg8In3. The functional is PBE-GGA.

The space group is Pm-3m (No. 221) and the conventional cell measures 6.7055, 6.7055 and 6.7055 Å, with angles of 90.00, 90.00 and 90.00 degrees. The asymmetric unit holds Mg at (0.2408, 0.2408, 0.2408) and In at (0.0000, 0.5000, 0.5000).

As for the calculated formation energy: 0.099 eV per atom. For the density, the calculation gives 3.0 g/cm³. The calculation puts the polymorph energy (0 for the lowest one) at 168 meV/atom. The value obtained for the volume is 301.5 Å³/cell. The value obtained for the calculated total energy is -19.89 eV per formula unit.

=====

# 8
This record from Alexandria via LeMat-Bulk describes an optimized crystal structure of Mg3In2. The functional is PBE-GGA.

The space group is P-3m1 (No. 164) and the conventional cell measures 4.8606, 4.8606 and 6.3044 Å, with angles of 90.00, 90.00 and 120.00 degrees. The asymmetric unit holds Mg at (0.0000, 0.0000, 0.0000), Mg at (0.3333, 0.6667, 0.3452) and In at (0.3333, 0.6667, 0.8189).

As for the calculated formation energy: 0.021 eV per atom. For the density, the calculation gives 3.9 g/cm³. The calculation puts the polymorph energy (0 for the lowest one) at 93 meV/atom. The value obtained for the volume is 129.0 Å³/cell. The value obtained for the calculated total energy is -10.15 eV per formula unit.

=====

# 9
This record from Alexandria via LeMat-Bulk describes an optimized crystal structure of MgIn4. The functional is PBE-GGA.

The space group is Pbam (No. 55) and the conventional cell measures 7.1382, 9.4566 and 3.9921 Å, with angles of 90.00, 90.00 and 90.00 degrees. The asymmetric unit holds Mg at (0.0000, 0.0000, 0.0000), In at (0.1415, 0.3120, 0.0000) and In at (0.1899, 0.5838, 0.5000).

As for the calculated formation energy: 0.033 eV per atom. For the density, the calculation gives 6.0 g/cm³. The value obtained for the volume is 269.5 Å³/cell. The value obtained for the calculated total energy is -12.38 eV per formula unit.

=====

# 10
This record from Alexandria via LeMat-Bulk describes an optimized crystal structure of MgIn4. The functional is PBE-GGA.

The space group is I4/mmm (No. 139) and the conventional cell measures 4.2435, 4.2435 and 15.6382 Å, with angles of 90.00, 90.00 and 90.00 degrees. The asymmetric unit holds Mg at (0.0000, 0.0000, 0.0000), In at (0.0000, 0.0000, 0.4038) and In at (0.0000, 0.5000, 0.2500).

As for the calculated formation energy: 0.115 eV per atom. For the density, the calculation gives 5.7 g/cm³. The value obtained for the volume is 281.6 Å³/cell. The value obtained for the calculated total energy is -11.97 eV per formula unit.

=====

# 11
This record from Alexandria via LeMat-Bulk describes an optimized crystal structure of MgIn. The functional is PBE-GGA.

The space group is C2/m (No. 12) and the conventional cell measures 11.3928, 3.2548 and 5.4382 Å, with angles of 90.00, 108.63 and 90.00 degrees. The asymmetric unit holds Mg at (0.1264, 0.0000, 0.3069) and In at (0.1230, 0.5000, 0.8019).

As for the calculated formation energy: -0.074 eV per atom. For the density, the calculation gives 4.8 g/cm³. The value obtained for the volume is 191.1 Å³/cell. The value obtained for the calculated total energy is -4.48 eV per formula unit.

=====

# 12
This record from Alexandria via LeMat-Bulk describes an optimized crystal structure of MgIn4. The functional is PBE-GGA.

The space group is Pm-3m (No. 221) and the conventional cell measures 5.4602, 5.4602 and 5.4602 Å, with angles of 90.00, 90.00 and 90.00 degrees. The asymmetric unit holds Mg at (0.0000, 0.0000, 0.0000), In at (0.0000, 0.0000, 0.5000) and In at (0.5000, 0.5000, 0.5000).

As for the calculated formation energy: 0.336 eV per atom. For the density, the calculation gives 4.9 g/cm³. The value obtained for the volume is 162.8 Å³/cell. The value obtained for the calculated total energy is -10.87 eV per formula unit.

=====

# 13
This record from Alexandria via LeMat-Bulk describes an optimized crystal structure of Mg3In. The functional is PBE-GGA.

The space group is Imm2 (No. 44) and the conventional cell measures 3.2476, 10.3608 and 5.5044 Å, with angles of 90.00, 90.00 and 90.00 degrees. The asymmetric unit holds Mg at (0.0000, 0.0000, 0.0000), Mg at (0.0000, 0.2495, 0.3358) and In at (0.0000, 0.5000, 0.0026).

As for the calculated formation energy: -0.054 eV per atom. For the density, the calculation gives 3.4 g/cm³. The value obtained for the volume is 185.2 Å³/cell. The value obtained for the calculated total energy is -7.74 eV per formula unit.

=====

# 14
This record from Alexandria via LeMat-Bulk describes an optimized crystal structure of Mg5In3. The functional is PBE-GGA.

The space group is C2/m (No. 12) and the conventional cell measures 5.9112, 15.8424 and 8.4799 Å, with angles of 90.00, 105.91 and 90.00 degrees. The asymmetric unit holds Mg at (0.0905, 0.1716, 0.1896), Mg at (0.1379, 0.4015, 0.3404), Mg at (0.2470, 0.0000, 0.9996), In at (0.0000, 0.2398, 0.5000), In at (0.0000, 0.3321, 0.0000) and In at (0.1313, 0.0000, 0.3451).

As for the calculated formation energy: -0.048 eV per atom. For the density, the calculation gives 4.1 g/cm³. The calculation puts the polymorph energy (0 for the lowest one) at 39 meV/atom. The value obtained for the volume is 763.7 Å³/cell. The value obtained for the calculated total energy is -16.58 eV per formula unit.

=====

# 15
This record from Alexandria via LeMat-Bulk describes an optimized crystal structure of Mg3In. The functional is PBE-GGA.

The space group is R-3m (No. 166, hexagonal axes) and the conventional cell measures 6.3641, 6.3641 and 31.1422 Å, with angles of 90.00, 90.00 and 120.00 degrees. The asymmetric unit holds Mg at (0.0009, 0.5005, 0.2918), Mg at (0.0010, 0.5005, 0.1250), In at (0.0000, 0.0000, 0.1253) and In at (0.0000, 0.0000, 0.2913).

As for the calculated formation energy: -0.088 eV per atom. For the density, the calculation gives 3.4 g/cm³. The value obtained for the volume is 1092.3 Å³/cell. The value obtained for the calculated total energy is -7.88 eV per formula unit.

=====

# 16
This record from Alexandria via LeMat-Bulk describes an optimized crystal structure of MgIn. The functional is PBE-GGA.

The space group is P4/nmm (No. 129, origin choice 2) and the conventional cell measures 3.2975, 3.2975 and 8.9458 Å, with angles of 90.00, 90.00 and 90.00 degrees. The asymmetric unit holds Mg at (0.2500, 0.2500, 0.1192) and In at (0.2500, 0.2500, 0.6387).

As for the calculated formation energy: -0.023 eV per atom. For the density, the calculation gives 4.8 g/cm³. The value obtained for the volume is 97.3 Å³/cell. The value obtained for the calculated total energy is -4.38 eV per formula unit.

=====

# 17
This record from Alexandria via LeMat-Bulk describes an optimized crystal structure of MgIn5. The functional is PBE-GGA.

The space group is P-6m2 (No. 187) and the conventional cell measures 3.3308, 3.3308 and 16.3281 Å, with angles of 90.00, 90.00 and 120.00 degrees. The asymmetric unit holds Mg at (0.0000, 0.0000, 0.0000), In at (0.0000, 0.0000, 0.3238), In at (0.3333, 0.6667, 0.1554) and In at (0.3333, 0.6667, 0.5000).

As for the calculated formation energy: -0.002 eV per atom. For the density, the calculation gives 6.3 g/cm³. The value obtained for the volume is 156.9 Å³/cell. The value obtained for the calculated total energy is -15.30 eV per formula unit.

=====

# 18
This record from Alexandria via LeMat-Bulk describes an optimized crystal structure of Mg3In4. The functional is PBE-GGA.

The space group is I4/mmm (No. 139) and the conventional cell measures 3.9821, 3.9821 and 21.8145 Å, with angles of 90.00, 90.00 and 90.00 degrees. The asymmetric unit holds Mg at (0.0000, 0.0000, 0.0000), Mg at (0.0000, 0.0000, 0.2865), In at (0.0000, 0.0000, 0.1455) and In at (0.0000, 0.0000, 0.4286).

As for the calculated formation energy: -0.029 eV per atom. For the density, the calculation gives 5.1 g/cm³. The calculation puts the polymorph energy (0 for the lowest one) at 0 meV/atom. The value obtained for the volume is 345.9 Å³/cell. The value obtained for the calculated total energy is -15.94 eV per formula unit.

=====

# 19
This record from Alexandria via LeMat-Bulk describes an optimized crystal structure of MgIn. The functional is PBE-GGA.

The space group is P6_3/m (No. 176) and the conventional cell measures 8.2819, 8.2819 and 5.1586 Å, with angles of 90.00, 90.00 and 120.00 degrees. The asymmetric unit holds Mg at (0.0472, 0.2437, 0.2500) and In at (0.0924, 0.4758, 0.7500).

As for the calculated formation energy: -0.018 eV per atom. For the density, the calculation gives 4.5 g/cm³. The value obtained for the volume is 306.4 Å³/cell. The value obtained for the calculated total energy is -4.37 eV per formula unit.

=====

# 20
This record from Alexandria via LeMat-Bulk describes an optimized crystal structure of Mg8In3. The functional is PBE-GGA.

The space group is C2/m (No. 12) and the conventional cell measures 10.0160, 4.4912 and 11.5735 Å, with angles of 90.00, 103.88 and 90.00 degrees. The asymmetric unit holds Mg at (0.0484, 0.0000, 0.3183), Mg at (0.1341, 0.0000, 0.9551), Mg at (0.1774, 0.5000, 0.7712), Mg at (0.2240, 0.0000, 0.5889), In at (0.0000, 0.5000, 0.5000) and In at (0.1026, 0.5000, 0.1420).

As for the calculated formation energy: -0.069 eV per atom. For the density, the calculation gives 3.5 g/cm³. The calculation puts the polymorph energy (0 for the lowest one) at 0 meV/atom. The value obtained for the volume is 505.4 Å³/cell. The value obtained for the calculated total energy is -21.74 eV per formula unit.